1.
NaLiAsSe2 | PBE | relaxed

Cell: 5.2278 5.2278 5.0205 Å, 90.00 90.00 90.00°
With the nearest neighbours (Å) after each atom.
Space group P4/mmm (No. 123)
One atom of each set of equivalent atoms:
Na: 0.0000 0.0000 0.0000 x1  2 As 2.51, 4 Se 2.61
Li: 0.5000 0.5000 0.5000 x1  8 Se 3.62, 4 As 3.70
As: 0.0000 0.0000 0.5000 x1  2 Na 2.51
Se: 0.0000 0.5000 0.0000 x2  2 Na 2.61

Properties
DFT total energy in eV/atom: -2.57
Formation energy from raw total energies in meV per atom: 404.1

---

2.
Na2LiAsSe4 | PBE | relaxed

Cell: 6.5145 6.5149 6.5166 Å, 112.01 111.99 104.49°
With the nearest neighbours (Å) after each atom.
Space group P1 (No. 1)
One atom of each set of equivalent atoms:
Na: 0.0000 0.0000 0.0000 x1  4 Se 2.92
Na: 0.2503 0.7505 0.4991 x1  8 Se 3.30-3.49
Li: 0.5006 0.5006 0.0002 x1  4 Se 2.55
As: 0.7511 0.2512 0.5004 x1  4 Se 2.36
Se: 0.1253 0.2486 0.5386 x1  1 As 2.36, 1 Li 2.55
Se: 0.4155 0.8771 0.1237 x1  1 As 2.36, 1 Li 2.55
Se: 0.7098 0.5868 0.4619 x1  1 As 2.36, 1 Li 2.55
Se: 0.7540 0.2924 0.8774 x1  1 As 2.36, 1 Li 2.55

Properties
DFT total energy in eV/atom: -3.59
Formation energy from raw total energies in meV per atom: -699.1

---

3.
NaLiAsSe2 | PBE | relaxed

Cell: 5.5608 13.2665 6.0693 Å, 90.00 90.00 90.00°
With the nearest neighbours (Å) after each atom.
Space group Cmme (No. 67)
One atom of each set of equivalent atoms:
Na: 0.0000 0.2500 0.2300 x4  8 Se 3.14-3.41
Li: 0.2500 0.0000 0.5000 x4  4 Se 2.70, 2 Li 2.78
As: 0.0000 0.0000 0.0000 x4  2 Se 2.55, 2 As 2.78
Se: 0.0000 0.1428 0.7186 x8  1 As 2.55, 2 Li 2.70, 1 Se 2.84

Properties
DFT total energy in eV/atom: -3.47
Formation energy from raw total energies in meV per atom: -497.4

---

4.
NaLiAs2Se | PBE | relaxed

Cell: 5.0565 5.0565 5.2197 Å, 90.00 90.00 90.00°
With the nearest neighbours (Å) after each atom.
Space group P4/mmm (No. 123)
One atom of each set of equivalent atoms:
Na: 0.0000 0.0000 0.0000 x1  4 As 2.53, 2 Se 2.61
Li: 0.5000 0.5000 0.5000 x1  4 Se 3.58, 8 As 3.63
As: 0.0000 0.5000 0.0000 x2  2 Na 2.53
Se: 0.0000 0.0000 0.5000 x1  2 Na 2.61

Properties
DFT total energy in eV/atom: -2.63
Formation energy from raw total energies in meV per atom: 570.8

---

5.
NaLiAsSe2 | PBE | relaxed

Cell: 4.9238 4.9238 4.5473 Å, 90.00 90.00 90.00°
With the nearest neighbours (Å) after each atom.
Space group P4/mmm (No. 123)
One atom of each set of equivalent atoms:
Na: 0.0000 0.0000 0.0000 x1  8 Se 3.35, 4 As 3.48
Li: 0.5000 0.5000 0.5000 x1  2 As 2.27, 4 Se 2.46
As: 0.5000 0.5000 0.0000 x1  2 Li 2.27
Se: 0.0000 0.5000 0.5000 x2  2 Li 2.46

Properties
DFT total energy in eV/atom: -3.05
Formation energy from raw total energies in meV per atom: -75.1

---

6.
Na3LiAs2Se6 | PBE | relaxed

Cell: 6.6892 11.6039 7.4182 Å, 90.00 107.67 90.00°
With the nearest neighbours (Å) after each atom.
Space group C2/m (No. 12)
One atom of each set of equivalent atoms:
Na: 0.0000 0.0000 0.0000 x2  6 Se 2.96-3.05
Na: 0.0000 0.3307 0.0000 x4  6 Se 2.96-3.06
Li: 0.0000 0.5000 0.5000 x2  6 Se 2.74-2.76
As: 0.0000 0.1673 0.5000 x4  6 Se 2.65-2.67
Se: 0.2274 0.0000 0.7143 x4  2 As 2.67, 1 Li 2.76, 1 Na 2.96
Se: 0.2420 0.3283 0.7104 x8  2 As 2.65-2.66, 1 Li 2.74, 1 Na 2.96

Properties
DFT total energy in eV/atom: -3.57
Formation energy from raw total energies in meV per atom: -562.6

---

Question: The lowest formation energy from raw total energies belongs to which entry?
Answer: Na2LiAsSe4